DFT (PBE+U) results for CaTbCr2O8 after structural relaxation.

Output
Volume: 13.9 Å³/atom
Crystal system: tetragonal
Space-group type: I-4m2, No. 119
DFT total energy: -7.249 eV/atom

a = 6.031 Å, b = 6.031 Å, c = 6.031 Å
α = 105.95°, β = 105.95°, γ = 116.76°
Fractional positions:
1 Ca 0.000 0.000 0.000
2 Tb 0.250 0.750 0.500
3 Cr 0.500 0.500 0.000
4 Cr 0.750 0.250 0.500
5 O 0.333 0.145 0.811
6 O 0.333 0.522 0.189
7 O 0.407 0.086 0.322
8 O 0.478 0.667 0.811
9 O 0.764 0.086 0.678
10 O 0.855 0.667 0.189
11 O 0.914 0.236 0.322
12 O 0.914 0.593 0.678